# Al5GaRu6 | the Alexandria database | PBE | relaxed
# Final energy (eV per atom): -7.0580
# Formation enthalpy at 0 K (eV per atom): -0.608
# Spin magnetization (μB/cell): 0.001
data_Al5GaRu6
_chemical_formula_sum 'Al10 Ga2 Ru12'
_cell_length_a 4.2585
_cell_length_b 6.0148
_cell_length_c 12.7725
_cell_angle_alpha 90.00
_cell_angle_beta 90.00
_cell_angle_gamma 90.00
_space_group_name_H-M_alt 'I m m m'
_space_group_IT_number 71
_space_group_name_Hall '-I 2 2'
loop_
_atom_site_label
_atom_site_fract_x
_atom_site_fract_y
_atom_site_fract_z
Al1 0.0000 0.0000 0.0000
Al2 0.0000 0.0000 0.3312
Al3 0.0000 0.5000 0.3333
Ga1 0.0000 0.5000 0.0000
Ru1 0.0000 0.2492 0.5000
Ru2 0.0000 0.2503 0.1663